# ThZr2Sc12 (PBE, relaxed)
data_ThZr2Sc12
_space_group_name_H-M_alt 'P 1'
_space_group_IT_number 1
_cell_length_a 6.104
_cell_length_b 6.104
_cell_length_c 22.496
_cell_angle_alpha 90.00
_cell_angle_beta 90.00
_cell_angle_gamma 63.51
loop_
_space_group_symop_operation_xyz
'x,y,z'
loop_
_atom_site_label
_atom_site_type_symbol
_atom_site_fract_x
_atom_site_fract_y
_atom_site_fract_z
_atom_site_occupancy
Sc1 Sc 0.247 0.747 0.082 1
Sc2 Sc 0.249 0.251 0.864 1
Sc3 Sc 0.000 0.000 0.328 1
Sc4 Sc 0.753 0.253 0.082 1
Sc5 Sc 0.000 0.000 0.672 1
Zr1 Zr 0.500 0.000 0.732 1
Sc6 Sc 0.500 0.500 0.672 1
Sc7 Sc 0.761 0.739 0.410 1
Th1 Th 0.000 0.500 0.998 1
Zr2 Zr 0.000 0.500 0.725 1
Th2 Th 0.500 0.000 0.002 1
Sc8 Sc 0.239 0.261 0.410 1
Sc9 Sc 0.500 0.500 0.795 1
Sc10 Sc 0.000 0.000 0.205 1
Sc11 Sc 0.751 0.749 0.864 1
Sc12 Sc 0.261 0.239 0.590 1
Sc13 Sc 0.747 0.247 0.918 1
Sc14 Sc 0.251 0.249 0.136 1
Sc15 Sc 0.234 0.734 0.560 1
Sc16 Sc 0.749 0.751 0.136 1
Sc17 Sc 0.253 0.753 0.918 1
Sc18 Sc 0.500 0.500 0.328 1
Sc19 Sc 0.734 0.234 0.440 1
Sc20 Sc 0.500 0.500 0.205 1
Sc21 Sc 0.000 0.000 0.795 1
Zr3 Zr 0.000 0.500 0.268 1
Sc22 Sc 0.739 0.761 0.590 1
Sc23 Sc 0.266 0.766 0.440 1
Sc24 Sc 0.766 0.266 0.560 1
Zr4 Zr 0.500 0.000 0.275 1
# crystal system: orthorhombic
# E_form: 0.19 eV per atom
# uncorrected energy: -195.402 eV for the cell shown

# Th2ZrSc5 (PBE, relaxed)
data_Th2ZrSc5
_space_group_name_H-M_alt 'P 1'
_space_group_IT_number 1
_cell_length_a 8.818
_cell_length_b 15.238
_cell_length_c 8.768
_cell_angle_alpha 49.17
_cell_angle_beta 81.35
_cell_angle_gamma 69.66
loop_
_space_group_symop_operation_xyz
'x,y,z'
loop_
_atom_site_label
_atom_site_type_symbol
_atom_site_fract_x
_atom_site_fract_y
_atom_site_fract_z
_atom_site_occupancy
Th1 Th 0.719 0.377 0.465 1
Sc1 Sc 0.852 0.884 0.585 1
Th2 Th 0.658 0.122 0.911 1
Sc2 Sc 0.216 0.874 0.476 1
Sc3 Sc 0.841 0.372 0.093 1
Th3 Th 0.781 0.631 0.017 1
Th4 Th 0.597 0.868 0.357 1
Sc4 Sc 0.342 0.377 0.590 1
Zr1 Zr 0.529 0.619 0.789 1
Sc5 Sc 0.970 0.369 0.728 1
Th5 Th 0.281 0.623 0.535 1
Sc6 Sc 0.159 0.628 0.907 1
Sc7 Sc 0.092 0.380 0.340 1
Zr2 Zr 0.095 0.875 0.843 1
Sc8 Sc 0.784 0.126 0.524 1
Zr3 Zr 0.471 0.381 0.211 1
Sc9 Sc 0.598 0.372 0.854 1
Sc10 Sc 0.658 0.623 0.410 1
Sc11 Sc 0.030 0.631 0.272 1
Sc12 Sc 0.538 0.125 0.282 1
Sc13 Sc 0.462 0.875 0.718 1
Zr4 Zr 0.905 0.125 0.157 1
Th6 Th 0.219 0.369 0.983 1
Sc14 Sc 0.029 0.124 0.782 1
Th7 Th 0.342 0.878 0.089 1
Sc15 Sc 0.725 0.877 0.962 1
Sc16 Sc 0.908 0.620 0.660 1
Sc17 Sc 0.971 0.876 0.218 1
Sc18 Sc 0.148 0.116 0.415 1
Sc19 Sc 0.275 0.123 0.038 1
Th8 Th 0.403 0.132 0.643 1
Sc20 Sc 0.402 0.628 0.146 1
# crystal system: triclinic
# E_form: 0.03 eV per atom
# uncorrected energy: -219.189 eV for the cell shown
# offset from the most stable computed form: 0.085 eV/f.u.

# Th3Zr2Sc8 (PBE, relaxed)
data_Th3Zr2Sc8
_space_group_name_H-M_alt 'P 1'
_space_group_IT_number 1
_cell_length_a 3.267
_cell_length_b 10.755
_cell_length_c 19.849
_cell_angle_alpha 90.00
_cell_angle_beta 90.00
_cell_angle_gamma 90.06
loop_
_space_group_symop_operation_xyz
'x,y,z'
loop_
_atom_site_label
_atom_site_type_symbol
_atom_site_fract_x
_atom_site_fract_y
_atom_site_fract_z
_atom_site_occupancy
Th1 Th 0.000 0.660 0.203 1
Sc1 Sc 0.998 0.989 0.836 1
Sc2 Sc 0.002 0.511 0.336 1
Sc3 Sc 0.001 0.210 0.554 1
Zr1 Zr 0.500 0.689 0.581 1
Th2 Th 0.000 0.160 0.297 1
Sc4 Sc 0.001 0.710 0.946 1
Zr2 Zr 0.500 0.811 0.081 1
Sc5 Sc 0.500 0.544 0.071 1
Sc6 Sc 0.500 0.456 0.929 1
Sc7 Sc 0.999 0.790 0.446 1
Sc8 Sc 0.501 0.376 0.202 1
Sc9 Sc 0.499 0.124 0.702 1
Sc10 Sc 0.499 0.624 0.798 1
Sc11 Sc 0.998 0.489 0.664 1
Sc12 Sc 0.500 0.044 0.429 1
Sc13 Sc 0.002 0.011 0.164 1
Th3 Th 0.000 0.000 0.000 1
Sc14 Sc 0.500 0.956 0.571 1
Th4 Th 0.000 0.340 0.797 1
Sc15 Sc 0.501 0.876 0.298 1
Th5 Th 0.000 0.500 0.500 1
Zr3 Zr 0.500 0.189 0.919 1
Zr4 Zr 0.500 0.311 0.419 1
Sc16 Sc 0.999 0.290 0.054 1
Th6 Th 0.000 0.840 0.703 1
# crystal system: monoclinic
# E_form: 0.17 eV per atom
# uncorrected energy: -175.498 eV for the cell shown

# Th2ZrSc9 (PBE, relaxed)
data_Th2ZrSc9
_space_group_name_H-M_alt 'P 1'
_space_group_IT_number 1
_cell_length_a 4.664
_cell_length_b 4.664
_cell_length_c 14.036
_cell_angle_alpha 90.00
_cell_angle_beta 90.00
_cell_angle_gamma 90.00
loop_
_space_group_symop_operation_xyz
'x,y,z'
loop_
_atom_site_label
_atom_site_type_symbol
_atom_site_fract_x
_atom_site_fract_y
_atom_site_fract_z
_atom_site_occupancy
Sc1 Sc 0.000 0.500 0.158 1
Sc2 Sc 0.500 0.500 0.671 1
Sc3 Sc 0.500 0.000 0.158 1
Th1 Th 0.000 0.000 0.332 1
Zr1 Zr 0.000 0.000 0.000 1
Sc4 Sc 0.500 0.000 0.842 1
Sc5 Sc 0.500 0.500 0.329 1
Sc6 Sc 0.000 0.500 0.842 1
Sc7 Sc 0.000 0.500 0.500 1
Th2 Th 0.000 0.000 0.668 1
Sc8 Sc 0.500 0.000 0.500 1
Sc9 Sc 0.500 0.500 0.000 1
# crystal system: tetragonal
# E_form: 0.03 eV per atom
# uncorrected energy: -80.035 eV for the cell shown

# ThZr2Sc5 (PBE, relaxed)
data_ThZr2Sc5
_space_group_name_H-M_alt 'P 1'
_space_group_IT_number 1
_cell_length_a 4.601
_cell_length_b 6.559
_cell_length_c 13.100
_cell_angle_alpha 90.00
_cell_angle_beta 90.00
_cell_angle_gamma 90.00
loop_
_space_group_symop_operation_xyz
'x,y,z'
loop_
_atom_site_label
_atom_site_type_symbol
_atom_site_fract_x
_atom_site_fract_y
_atom_site_fract_z
_atom_site_occupancy
Zr1 Zr 0.500 0.745 0.877 1
Sc1 Sc 0.500 0.752 0.127 1
Zr2 Zr 0.500 0.255 0.123 1
Sc2 Sc 0.500 0.748 0.627 1
Sc3 Sc 0.000 0.500 0.500 1
Sc4 Sc 0.500 0.248 0.873 1
Sc5 Sc 0.000 0.495 0.748 1
Sc6 Sc 0.000 0.505 0.252 1
Th1 Th 0.000 0.500 0.000 1
Sc7 Sc 0.000 0.000 0.000 1
Th2 Th 0.000 0.000 0.500 1
Sc8 Sc 0.500 0.252 0.373 1
Zr3 Zr 0.500 0.245 0.623 1
Sc9 Sc 0.000 0.995 0.752 1
Sc10 Sc 0.000 0.005 0.248 1
Zr4 Zr 0.500 0.755 0.377 1
# crystal system: orthorhombic
# E_form: 0.03 eV per atom
# uncorrected energy: -111.925 eV for the cell shown
# offset from the most stable computed form: 0.000 eV/f.u.

# Th4ZrSc7 (PBE, relaxed)
data_Th4ZrSc7
_space_group_name_H-M_alt 'P 1'
_space_group_IT_number 1
_cell_length_a 5.568
_cell_length_b 11.046
_cell_length_c 6.266
_cell_angle_alpha 84.14
_cell_angle_beta 63.62
_cell_angle_gamma 75.40
loop_
_space_group_symop_operation_xyz
'x,y,z'
loop_
_atom_site_label
_atom_site_type_symbol
_atom_site_fract_x
_atom_site_fract_y
_atom_site_fract_z
_atom_site_occupancy
Th1 Th 0.800 0.652 0.748 1
Sc1 Sc 0.370 0.491 0.769 1
Sc2 Sc 0.921 0.302 0.857 1
Sc3 Sc 0.790 0.922 0.498 1
Th2 Th 0.362 0.776 0.499 1
Th3 Th 0.638 0.224 0.501 1
Sc4 Sc 0.500 0.000 0.000 1
Sc5 Sc 0.210 0.078 0.502 1
Zr1 Zr 0.000 0.000 0.000 1
Th4 Th 0.200 0.348 0.252 1
Sc6 Sc 0.079 0.698 0.143 1
Sc7 Sc 0.630 0.509 0.231 1
# crystal system: monoclinic
# E_form: 0.26 eV per atom
# uncorrected energy: -79.386 eV for the cell shown